(1)
Entry from Alexandria: TlFe2Ag after structural relaxation (PBE-GGA).

Results
The formation energy is 589 meV/atom. The total energy is -4.9465 eV/atom. Its symmetry is P4/mmm, No. 123. Its theoretical density is 10.57 g/cm3.

a = 2.897 Å, b = 2.897 Å, c = 7.938 Å
α = 90.00°, β = 90.00°, γ = 90.00°
Sites, in units of the cell vectors:
Tl 0.000 0.000 0.000
Fe 0.500 0.500 0.265
Fe 0.500 0.500 0.735
Ag 0.000 0.000 0.500

(2)
Entry from Alexandria: KCuCN after structural relaxation (PBE-GGA).

Results
The total energy is -5.3660 eV/atom. Its symmetry is P3m1, No. 156. Its theoretical density is 3.32 g/cm3. As for the uncorrected formation energy: 1.28 eV per formula unit.

a = 3.619 Å, b = 3.619 Å, c = 5.669 Å
α = 90.00°, β = 90.00°, γ = 120.00°
Sites, in units of the cell vectors:
K 0.000 0.000 0.000
Cu 0.667 0.333 0.568
C 0.333 0.667 0.546
N 0.333 0.667 0.325

(3)
Entry from Alexandria: GaSeS2Cl after structural relaxation (PBE-GGA).

Results
The total energy is -3.1000 eV/atom. Its symmetry is P4/mmm, No. 123. Its theoretical density is 3.41 g/cm3. As for the uncorrected formation energy: 1.11 eV per formula unit.

a = 4.862 Å, b = 4.862 Å, c = 5.114 Å
α = 90.00°, β = 90.00°, γ = 90.00°
Sites, in units of the cell vectors:
Ga 0.000 0.000 0.000
Se 0.500 0.500 0.500
S 0.000 0.500 0.500
S 0.500 0.000 0.500
Cl 0.500 0.500 0.000

(4)
Entry from Alexandria: SmAl4Pt6 after structural relaxation (PBE-GGA).

Results
The formation energy is -703 meV/atom. The total energy is -5.7880 eV/atom. Its symmetry is I-42m, No. 121. Its theoretical density is 11.52 g/cm3.

a = 6.578 Å, b = 6.578 Å, c = 6.578 Å
α = 118.36°, β = 118.36°, γ = 92.86°
Sites, in units of the cell vectors:
Sm 0.000 0.000 0.000
Al 0.130 0.538 0.000
Al 0.462 0.462 0.593
Al 0.538 0.130 0.000
Al 0.870 0.870 0.407
Pt 0.000 0.500 0.500
Pt 0.225 0.225 0.688
Pt 0.462 0.775 0.000
Pt 0.500 0.000 0.500
Pt 0.538 0.538 0.312
Pt 0.775 0.462 0.000

(5)
Entry from Alexandria: Er3Co3B8 after structural relaxation (PBE-GGA).

Results
The formation energy is -272 meV/atom. The total energy is -6.5883 eV/atom. Its symmetry is Immm, No. 71. Its theoretical density is 8.66 g/cm3.

a = 6.968 Å, b = 6.968 Å, c = 6.968 Å
α = 153.17°, β = 101.53°, γ = 84.71°
Sites, in units of the cell vectors:
Er 0.000 0.000 0.000
Er 0.297 0.297 0.000
Er 0.703 0.703 0.000
Co 0.278 0.500 0.778
Co 0.500 0.000 0.500
Co 0.722 0.500 0.222
B 0.011 0.319 0.692
B 0.141 0.863 0.278
B 0.372 0.681 0.692
B 0.414 0.137 0.278
B 0.586 0.863 0.722
B 0.628 0.319 0.308
B 0.859 0.137 0.722
B 0.989 0.681 0.308

(6)
Entry from Alexandria: KMn2TcPd after structural relaxation (PBE-GGA).

Results
The formation energy is 1211 meV/atom. The total energy is -5.7885 eV/atom. Its symmetry is P4/mmm, No. 123. Its theoretical density is 4.80 g/cm3.

a = 5.027 Å, b = 5.027 Å, c = 4.841 Å
α = 90.00°, β = 90.00°, γ = 90.00°
Sites, in units of the cell vectors:
K 0.000 0.000 0.000
Mn 0.000 0.500 0.500
Mn 0.500 0.000 0.500
Tc 0.500 0.500 0.000
Pd 0.500 0.500 0.500

(7)
Entry from Alexandria: NaTiF4 after structural relaxation (PBE-GGA).

Results
The total energy is -5.9522 eV/atom. Its symmetry is Pbcn, No. 60. Its theoretical density is 2.95 g/cm3. As for the uncorrected formation energy: -19.01 eV per formula unit.

a = 5.065 Å, b = 5.849 Å, c = 11.152 Å
α = 90.00°, β = 90.00°, γ = 90.00°
Sites, in units of the cell vectors:
Na 0.000 0.000 0.000
Na 0.000 0.000 0.500
Na 0.500 0.500 0.000
Na 0.500 0.500 0.500
Ti 0.000 0.340 0.250
Ti 0.000 0.660 0.750
Ti 0.500 0.160 0.750
Ti 0.500 0.840 0.250
F 0.167 0.319 0.097
F 0.167 0.681 0.597
F 0.245 0.082 0.308
F 0.245 0.918 0.808
F 0.255 0.418 0.808
F 0.255 0.582 0.308
F 0.333 0.181 0.597
F 0.333 0.819 0.097
F 0.667 0.181 0.903
F 0.667 0.819 0.403
F 0.745 0.418 0.692
F 0.745 0.582 0.192
F 0.755 0.082 0.192
F 0.755 0.918 0.692
F 0.833 0.319 0.403
F 0.833 0.681 0.903

(8)
Entry from Alexandria: TaSeNO2 after structural relaxation (PBE-GGA).

Results
The total energy is -6.0562 eV/atom. Its symmetry is P4/mmm, No. 123. Its theoretical density is 8.39 g/cm3. As for the uncorrected formation energy: 3.30 eV per formula unit.

a = 3.793 Å, b = 3.793 Å, c = 4.207 Å
α = 90.00°, β = 90.00°, γ = 90.00°
Sites, in units of the cell vectors:
Ta 0.000 0.000 0.000
Se 0.500 0.500 0.500
N 0.500 0.500 0.000
O 0.000 0.500 0.500
O 0.500 0.000 0.500

(9)
Entry from Alexandria: Zr2Ag2Pb after structural relaxation (PBE-GGA).

Results
The formation energy is 38 meV/atom. The total energy is -5.2638 eV/atom. Its symmetry is P4/mbm, No. 127. Its theoretical density is 9.23 g/cm3.

a = 8.050 Å, b = 8.050 Å, c = 3.362 Å
α = 90.00°, β = 90.00°, γ = 90.00°
Sites, in units of the cell vectors:
Zr 0.172 0.328 0.000
Zr 0.328 0.828 0.000
Zr 0.672 0.172 0.000
Zr 0.828 0.672 0.000
Ag 0.123 0.623 0.500
Ag 0.377 0.123 0.500
Ag 0.623 0.877 0.500
Ag 0.877 0.377 0.500
Pb 0.000 0.000 0.500
Pb 0.500 0.500 0.500

(10)
Entry from Alexandria: BeNbH after structural relaxation (PBE-GGA).

Results
The total energy is -5.6741 eV/atom. Its symmetry is P4/nmm, No. 129. Its theoretical density is 5.73 g/cm3.

a = 2.910 Å, b = 2.910 Å, c = 7.043 Å
α = 90.00°, β = 90.00°, γ = 90.00°
Sites, in units of the cell vectors:
Be 0.250 0.750 0.000
Be 0.750 0.250 0.000
Nb 0.250 0.250 0.316
Nb 0.750 0.750 0.684
H 0.250 0.250 0.630
H 0.750 0.750 0.370

(11)
Entry from Alexandria: Ac2Sb2Au15 after structural relaxation (PBE-GGA).

Results
The total energy is -3.7628 eV/atom. Its symmetry is R-3m, No. 166. Its theoretical density is 14.86 g/cm3. As for the uncorrected formation energy: -5.87 eV per formula unit.

a = 7.472 Å, b = 7.472 Å, c = 7.472 Å
α = 82.86°, β = 82.86°, γ = 82.86°
Sites, in units of the cell vectors:
Ac 0.154 0.154 0.154
Ac 0.846 0.846 0.846
Sb 0.397 0.397 0.397
Sb 0.603 0.603 0.603
Au 0.000 0.500 0.500
Au 0.146 0.146 0.664
Au 0.146 0.664 0.146
Au 0.187 0.500 0.813
Au 0.187 0.813 0.500
Au 0.336 0.854 0.854
Au 0.500 0.000 0.500
Au 0.500 0.187 0.813
Au 0.500 0.500 0.000
Au 0.500 0.813 0.187
Au 0.664 0.146 0.146
Au 0.813 0.187 0.500
Au 0.813 0.500 0.187
Au 0.854 0.336 0.854
Au 0.854 0.854 0.336

(12)
Entry from Alexandria: PmPuTeN2 after structural relaxation (PBE-GGA).

Results
The total energy is -9.0587 eV/atom. Its symmetry is P2_1/m, No. 11. Its theoretical density is 8.51 g/cm3. As for the uncorrected formation energy: -6.42 eV per formula unit.

a = 6.883 Å, b = 4.089 Å, c = 7.858 Å
α = 90.00°, β = 106.04°, γ = 90.00°
Sites, in units of the cell vectors:
Pm 0.179 0.250 0.423
Pm 0.821 0.750 0.577
Pu 0.152 0.250 0.906
Pu 0.848 0.750 0.094
Te 0.451 0.750 0.757
Te 0.549 0.250 0.243
N 0.006 0.750 0.356
N 0.019 0.750 0.897
N 0.981 0.250 0.103
N 0.994 0.250 0.644

(13)
Entry from Alexandria: Ba2YMg after structural relaxation (PBE-GGA).

Results
The formation energy is 229 meV/atom. The total energy is -2.7467 eV/atom. Its symmetry is R-3m, No. 166. Its theoretical density is 3.80 g/cm3.

a = 3.971 Å, b = 3.971 Å, c = 37.273 Å
α = 90.00°, β = 90.00°, γ = 120.00°
Sites, in units of the cell vectors:
Ba 0.000 0.000 0.246
Ba 0.000 0.000 0.754
Ba 0.333 0.667 0.420
Ba 0.333 0.667 0.913
Ba 0.667 0.333 0.087
Ba 0.667 0.333 0.580
Y 0.000 0.000 0.000
Y 0.333 0.667 0.667
Y 0.667 0.333 0.333
Mg 0.000 0.000 0.500
Mg 0.333 0.667 0.167
Mg 0.667 0.333 0.833

(14)
Entry from Alexandria: SrMgP2S after structural relaxation (PBE-GGA).

Results
The total energy is -2.8638 eV/atom. Its symmetry is P4/mmm, No. 123. Its theoretical density is 2.11 g/cm3. As for the uncorrected formation energy: 3.90 eV per formula unit.

a = 5.479 Å, b = 5.479 Å, c = 5.407 Å
α = 90.00°, β = 90.00°, γ = 90.00°
Sites, in units of the cell vectors:
Sr 0.000 0.000 0.000
Mg 0.500 0.500 0.500
P 0.000 0.500 0.000
P 0.500 0.000 0.000
S 0.000 0.000 0.500

(15)
Entry from Alexandria: SmEr3Pt after structural relaxation (PBE-GGA).

Results
The formation energy is -438 meV/atom. The total energy is -5.3273 eV/atom. Its symmetry is Pmn2_1, No. 31. Its theoretical density is 9.17 g/cm3.

a = 7.567 Å, b = 6.703 Å, c = 6.051 Å
α = 90.00°, β = 90.00°, γ = 90.00°
Sites, in units of the cell vectors:
Sm 0.000 0.141 0.000
Sm 0.500 0.859 0.500
Er 0.000 0.849 0.487
Er 0.244 0.303 0.497
Er 0.256 0.697 0.997
Er 0.500 0.151 0.987
Er 0.744 0.697 0.997
Er 0.756 0.303 0.497
Pt 0.000 0.509 0.749
Pt 0.500 0.491 0.249

(16)
Entry from Alexandria: BaTaTeSe6 after structural relaxation (PBE-GGA).

Results
The total energy is -4.8576 eV/atom. Its symmetry is P312, No. 149. Its theoretical density is 5.24 g/cm3. As for the uncorrected formation energy: -5.89 eV per formula unit.

a = 6.975 Å, b = 6.975 Å, c = 6.913 Å
α = 90.00°, β = 90.00°, γ = 120.00°
Sites, in units of the cell vectors:
Ba 0.000 0.000 0.000
Ta 0.333 0.667 0.500
Te 0.667 0.333 0.500
Se 0.017 0.409 0.729
Se 0.017 0.608 0.271
Se 0.392 0.409 0.271
Se 0.392 0.983 0.729
Se 0.591 0.608 0.729
Se 0.591 0.983 0.271

(17)
Entry from Alexandria: SrSc2Hg after structural relaxation (PBE-GGA).

Results
The formation energy is 129 meV/atom. The total energy is -3.5323 eV/atom. Its symmetry is I4/mmm, No. 139. Its theoretical density is 5.76 g/cm3.

a = 4.735 Å, b = 4.735 Å, c = 9.728 Å
α = 90.00°, β = 90.00°, γ = 90.00°
Sites, in units of the cell vectors:
Sr 0.000 0.000 0.000
Sr 0.500 0.500 0.500
Sc 0.000 0.500 0.250
Sc 0.000 0.500 0.750
Sc 0.500 0.000 0.250
Sc 0.500 0.000 0.750
Hg 0.000 0.000 0.500
Hg 0.500 0.500 0.000

(18)
Entry from Alexandria: NaO8 after structural relaxation (PBE-GGA).

Results
The total energy is -4.6579 eV/atom. Its symmetry is P2_1/c, No. 14. Its theoretical density is 1.74 g/cm3. As for the uncorrected formation energy: -0.94 eV per formula unit.

a = 6.077 Å, b = 14.568 Å, c = 7.807 Å
α = 90.00°, β = 123.48°, γ = 90.00°
Sites, in units of the cell vectors:
Na 0.008 0.173 0.185
Na 0.008 0.327 0.685
Na 0.992 0.673 0.315
Na 0.992 0.827 0.815
O 0.069 0.570 0.721
O 0.069 0.930 0.221
O 0.083 0.010 0.301
O 0.083 0.490 0.801
O 0.107 0.078 0.978
O 0.107 0.422 0.478
O 0.136 0.712 0.086
O 0.136 0.788 0.586
O 0.383 0.679 0.177
O 0.383 0.821 0.677
O 0.401 0.081 0.718
O 0.401 0.419 0.218
O 0.474 0.593 0.595
O 0.474 0.907 0.095
O 0.489 0.207 0.406
O 0.489 0.293 0.906
O 0.511 0.707 0.094
O 0.511 0.793 0.594
O 0.526 0.093 0.905
O 0.526 0.407 0.405
O 0.599 0.581 0.782
O 0.599 0.919 0.282
O 0.617 0.179 0.323
O 0.617 0.321 0.823
O 0.864 0.212 0.414
O 0.864 0.288 0.914
O 0.893 0.578 0.522
O 0.893 0.922 0.022
O 0.917 0.510 0.199
O 0.917 0.990 0.699
O 0.931 0.070 0.779
O 0.931 0.430 0.279

(19)
Entry from Alexandria: BeCo2Ge2 after structural relaxation (PBE-GGA).

Results
The formation energy is -33 meV/atom. The total energy is -5.4673 eV/atom. Its symmetry is P4/mbm, No. 127. Its theoretical density is 7.43 g/cm3.

a = 5.921 Å, b = 5.921 Å, c = 3.471 Å
α = 90.00°, β = 90.00°, γ = 90.00°
Sites, in units of the cell vectors:
Be 0.000 0.000 0.000
Be 0.500 0.500 0.000
Co 0.153 0.347 0.000
Co 0.347 0.847 0.000
Co 0.653 0.153 0.000
Co 0.847 0.653 0.000
Ge 0.157 0.657 0.500
Ge 0.343 0.157 0.500
Ge 0.657 0.843 0.500
Ge 0.843 0.343 0.500

(20)
Entry from Alexandria: TaNbH2 after structural relaxation (PBE-GGA).

Results
The total energy is -7.3577 eV/atom. Its symmetry is C222, No. 21. Its theoretical density is 10.99 g/cm3.

a = 3.484 Å, b = 4.926 Å, c = 4.855 Å
α = 90.00°, β = 90.00°, γ = 90.00°
Sites, in units of the cell vectors:
Ta 0.000 0.000 0.000
Ta 0.500 0.500 0.000
Nb 0.000 0.500 0.500
Nb 0.500 0.000 0.500
H 0.250 0.250 0.249
H 0.250 0.750 0.751
H 0.750 0.250 0.751
H 0.750 0.750 0.249